Record 1
Density functional theory data (PBE-GGA) for a geometry-optimized Rb2Mg3CdIn12 structure.

formation energy	0.0264	eV/atom

Lattice parameters (Å, degrees): 12.265 12.265 12.265 35.98 35.98 35.98
Sites, in units of the cell vectors:
Rb1 0.150 0.150 0.150
Rb2 0.850 0.850 0.850
Mg1 0.000 0.500 0.500
Mg2 0.500 0.000 0.500
Mg3 0.500 0.500 0.000
Cd1 0.500 0.500 0.500
In1 0.085 0.085 0.684
In2 0.085 0.684 0.085
In3 0.144 0.571 0.571
In4 0.316 0.915 0.915
In5 0.429 0.429 0.856
In6 0.429 0.856 0.429
In7 0.571 0.144 0.571
In8 0.571 0.571 0.144
In9 0.684 0.085 0.085
In10 0.856 0.429 0.429
In11 0.915 0.316 0.915
In12 0.915 0.915 0.316

Record 2
Density functional theory data (PBE-GGA) for a geometry-optimized Rb2MgCd3In4 structure.

formation energy	-0.0646	eV/atom

Lattice parameters (Å, degrees): 4.924 4.924 12.909 90.00 90.00 90.00
Sites, in units of the cell vectors:
Rb1 0.000 0.500 0.249
Rb2 0.500 0.000 0.751
Mg1 0.000 0.000 0.500
Cd1 0.000 0.500 0.862
Cd2 0.500 0.000 0.138
Cd3 0.500 0.500 0.500
In1 0.000 0.000 0.000
In2 0.000 0.500 0.632
In3 0.500 0.000 0.368
In4 0.500 0.500 0.000

Which of these has the highest formation energy? Rb2Mg3CdIn12

What did the first record say?
Density functional theory data (PBE-GGA) for a geometry-optimized Rb2Mg3CdIn12 structure.

formation energy	0.0264	eV/atom

Lattice parameters (Å, degrees): 12.265 12.265 12.265 35.98 35.98 35.98
Sites, in units of the cell vectors:
Rb1 0.150 0.150 0.150
Rb2 0.850 0.850 0.850
Mg1 0.000 0.500 0.500
Mg2 0.500 0.000 0.500
Mg3 0.500 0.500 0.000
Cd1 0.500 0.500 0.500
In1 0.085 0.085 0.684
In2 0.085 0.684 0.085
In3 0.144 0.571 0.571
In4 0.316 0.915 0.915
In5 0.429 0.429 0.856
In6 0.429 0.856 0.429
In7 0.571 0.144 0.571
In8 0.571 0.571 0.144
In9 0.684 0.085 0.085
In10 0.856 0.429 0.429
In11 0.915 0.316 0.915
In12 0.915 0.915 0.316

Look up the formation energy of the first one. 0.0264 eV/atom

Which of these has the lowest formation energy? Rb2MgCd3In4